[1]
MoOsPt: relaxed, PBEsol.

```
MoOsPt
1.0
2.697 0.000 0.000
0.000 4.382 0.000
0.000 -2.191 3.795
Mo Os Pt
1 1 1
direct
0.895 0.000 0.000 Mo
0.774 0.667 0.333 Os
0.331 0.333 0.667 Pt
```

Computed properties:
DFT formation energy = 174 meV/atom
E above lowest polymorph = 257 meV/atom
Space group = P3m1

---

[2]
Zn2Ag3: relaxed, PBEsol.

```
Zn2Ag3
1.0
2.885 0.000 0.000
0.000 3.669 0.000
-1.443 -1.834 7.275
Zn Ag
2 3
direct
0.601 0.601 0.202 Zn
0.399 0.399 0.798 Zn
0.805 0.805 0.610 Ag
0.195 0.195 0.390 Ag
0.000 0.000 0.000 Ag
```

Computed properties:
DFT formation energy = -56 meV/atom
E above lowest polymorph = 1 meV/atom
Space group = Immm

---

[3]
CuGeBi3: relaxed, PBEsol.

```
CuGeBi3
1.0
5.409 0.000 0.000
0.000 5.409 0.000
0.000 0.000 5.409
Ge Bi Cu
1 3 1
direct
0.000 0.000 0.000 Ge
0.000 0.500 0.000 Bi
0.000 0.000 0.500 Bi
0.500 0.000 0.000 Bi
0.500 0.500 0.500 Cu
```

Computed properties:
DFT formation energy = 992 meV/atom
Space group = Pm-3m

---

[4]
KAgF4: relaxed, PBEsol.

```
KAgF4
1.0
5.849 0.000 0.000
0.000 5.849 0.000
-2.924 -2.924 5.763
K Ag F
2 2 8
direct
0.750 0.750 0.500 K
0.250 0.250 0.500 K
0.500 0.000 0.000 Ag
0.000 0.500 0.000 Ag
0.551 0.051 0.769 F
0.782 0.282 0.231 F
0.449 0.949 0.231 F
0.949 0.782 0.231 F
0.218 0.718 0.769 F
0.718 0.551 0.769 F
0.051 0.218 0.769 F
0.282 0.449 0.231 F
```

Computed properties:
Formation energy from raw total energies = -1762 meV/atom
Space group = I4/mcm

---

[5]
Zn4Cr: relaxed, PBEsol.

```
Zn4Cr
1.0
3.538 0.000 0.000
0.000 3.538 0.000
-1.769 -1.769 6.022
Cr Zn
1 4
direct
0.000 0.000 0.000 Cr
0.750 0.250 0.500 Zn
0.402 0.402 0.804 Zn
0.598 0.598 0.196 Zn
0.250 0.750 0.500 Zn
```

Computed properties:
DFT formation energy = 305 meV/atom
E above lowest polymorph = 175 meV/atom
Space group = I4/mmm

---

[6]
MnRu3Pt: relaxed, PBEsol.

```
MnRu3Pt
1.0
-2.661 1.127 3.148
1.154 -3.467 2.217
3.138 2.230 1.855
Ru Mn Pt
3 1 1
direct
0.000 0.500 0.000 Ru
0.000 0.000 0.500 Ru
0.500 0.000 0.000 Ru
0.000 0.000 0.000 Mn
0.500 0.500 0.500 Pt
```

Computed properties:
DFT formation energy = 1378 meV/atom
Space group = Pm-3m

---

[7]
CrTcW: relaxed, PBEsol.

```
CrTcW
1.0
-3.229 2.217 1.327
-3.704 -1.789 0.418
-1.559 -0.671 3.771
Cr Tc W
1 1 1
direct
0.000 0.000 0.000 Cr
0.500 0.500 0.500 Tc
0.250 0.250 0.250 W
```

Computed properties:
DFT formation energy = 967 meV/atom
E above lowest polymorph = 890 meV/atom
Space group = F-43m

---

[8]
RbSn2HgN: relaxed, PBEsol.

```
RbSn2HgN
1.0
-1.475 -0.166 3.838
5.372 -1.417 2.004
1.241 5.729 0.725
N Hg Rb Sn
1 1 1 2
direct
0.500 0.000 0.000 N
0.000 0.000 0.000 Hg
0.500 0.500 0.500 Rb
0.000 0.000 0.500 Sn
0.000 0.500 0.000 Sn
```

Computed properties:
Formation energy from raw total energies = 935 meV/atom
Space group = P4/mmm

---

[9]
SrBe2BTe: relaxed, PBEsol.

```
SrBe2BTe
1.0
-0.670 -4.170 2.339
2.502 -2.515 -3.768
4.473 0.689 2.511
Sr B Te Be
1 1 1 2
direct
0.000 0.000 0.000 Sr
0.500 0.000 0.000 B
0.500 0.500 0.500 Te
0.000 0.000 0.500 Be
0.000 0.500 0.000 Be
```

Computed properties:
Formation energy from raw total energies = 2204 meV/atom
Space group = P4/mmm

---

[10]
LaAlO3: relaxed, PBEsol.

```
LaAlO3
1.0
6.749 0.009 0.018
-0.432 7.768 -0.025
-0.360 -1.793 7.778
La Al O
6 6 18
direct
0.777 0.905 0.112 La
0.575 0.750 0.523 La
0.125 0.580 0.812 La
0.875 0.420 0.188 La
0.425 0.250 0.477 La
0.223 0.095 0.888 La
0.086 0.778 0.466 Al
0.313 0.897 0.198 Al
0.355 0.520 0.202 Al
0.645 0.480 0.798 Al
0.914 0.222 0.534 Al
0.687 0.103 0.802 Al
0.545 0.914 0.816 O
0.278 0.929 0.423 O
0.118 0.858 0.043 O
0.072 0.821 0.688 O
0.856 0.750 0.349 O
0.465 0.718 0.164 O
0.447 0.552 0.688 O
0.191 0.571 0.377 O
0.809 0.592 0.966 O
0.809 0.429 0.623 O
0.191 0.408 0.034 O
0.553 0.448 0.312 O
0.535 0.282 0.836 O
0.144 0.250 0.651 O
0.928 0.179 0.312 O
0.722 0.071 0.577 O
0.882 0.142 0.957 O
0.455 0.086 0.184 O
```

Computed properties:
Formation energy from raw total energies = -3230 meV/atom
Space group = P-1

---

[11]
Rb2FeI: relaxed, PBEsol.

```
Rb2FeI
1.0
-3.900 -4.335 1.736
1.096 -5.817 -1.404
1.573 -3.938 4.362
I Fe Rb
1 1 2
direct
0.500 0.500 0.500 I
0.000 0.000 0.000 Fe
0.250 0.250 0.250 Rb
0.750 0.750 0.750 Rb
```

Computed properties:
Formation energy from raw total energies = 296 meV/atom
Space group = Fm-3m

---

[12]
RhC2: relaxed, PBEsol.

```
RhC2
1.0
-1.451 2.236 2.193
0.296 -0.483 3.405
1.984 2.112 1.876
C Rh
2 1
direct
0.250 0.250 0.250 C
0.750 0.750 0.750 C
0.000 0.000 0.000 Rh
```

Computed properties:
DFT formation energy = 1849 meV/atom
E above lowest polymorph = 1408 meV/atom
Space group = Fm-3m

---

no.,magnetic moment (μB per atom),DOS at the Fermi energy (states/eV/atom),final energy (eV per atom)
1,0.000,1.344,-10.141
2,0.000,0.239,-2.675
3,0.000,0.771,-3.434
4,0.000,0.000,-3.788
5,0.727,0.407,-3.009
6,0.000,1.914,-8.071
7,0.763,1.252,-10.805
8,0.000,0.747,-2.793
9,0.000,0.638,-1.873
10,0.000,0.000,-8.267
11,0.749,2.575,-2.899
12,0.000,0.701,-7.293